# 1
DFT (GGA-PBE) results for a relaxed structure of LaMgBiPb.

Output
SG   F-43m, No. 216
Energy relative to the lowest polymorph listed for this composition   162 meV per atom

Cell: 5.5305 5.5305 5.5305 Å, 60.00 60.00 60.00°
Closest atoms and distances in Å follow each position.
Element x y z (fractional)
La 0.5000 0.5000 0.5000  4 Bi 3.39, 4 Pb 3.39
Pb 0.7500 0.7500 0.7500  4 La 3.39, 4 Mg 3.39
Bi 0.2500 0.2500 0.2500  4 La 3.39, 4 Mg 3.39
Mg 0.0000 0.0000 0.0000  4 Pb 3.39, 4 Bi 3.39


# 2
DFT (GGA-PBE) results for a relaxed structure of Sr2LaNbN4.

Output
Formation energy without anion corrections   -1.12 eV per atom
SG   Pmn2_1, No. 31

Cell: 5.7388 7.0931 7.8024 Å, 90.00 90.00 90.00°
Closest atoms and distances in Å follow each position.
Element x y z (fractional)
N 0.9211 0.3054 0.2202  1 Nb 2.01
N 0.9043 0.9018 0.0000  1 Nb 1.99
La 0.9770 0.1411 0.5000  4 N 2.30-2.50
N 0.9211 0.3054 0.7798  1 Nb 2.01
Nb 0.4974 0.8276 0.5000  4 N 1.95-2.01
Nb 0.9974 0.1724 0.0000  4 N 1.95-2.01
Sr 0.9710 0.6681 0.7540  4 N 2.44-2.60
Sr 0.4710 0.3319 0.2540  4 N 2.44-2.60
N 0.8370 0.8366 0.5000  1 Nb 1.95
N 0.3370 0.1634 0.0000  1 Nb 1.95
N 0.4211 0.6946 0.2798  1 Nb 2.01
Sr 0.4710 0.3319 0.7460  4 N 2.44-2.60
N 0.4043 0.0982 0.5000  1 Nb 1.99
N 0.4211 0.6946 0.7202  1 Nb 2.01
Sr 0.9710 0.6681 0.2460  4 N 2.44-2.60
La 0.4770 0.8589 0.0000  4 N 2.30-2.50


# 3
DFT (GGA-PBE) results for a relaxed structure of NiSnSN2.

Output
Formation energy without anion corrections   1.00 eV per atom
SG   P4/mmm, No. 123
Energy relative to the lowest polymorph listed for this composition   0 meV per atom

Cell: 3.8404 3.8404 4.8628 Å, 90.00 90.00 90.00°
Closest atoms and distances in Å follow each position.
Element x y z (fractional)
N 0.5000 0.0000 0.0000  2 Ni 1.92
Sn 0.5000 0.5000 0.5000  4 S 2.72
Ni 0.0000 0.0000 0.0000  4 N 1.92
S 0.0000 0.0000 0.5000  2 Ni 2.43, 4 Sn 2.72
N 0.0000 0.5000 0.0000  2 Ni 1.92


# 4
DFT (GGA-PBE) results for a relaxed structure of Ta2Tl2NiS6.

Output
Formation energy without anion corrections   -0.64 eV per atom
SG   C2/m, No. 12

Cell: 6.0660 6.0660 8.0718 Å, 97.89 97.89 119.67°
Closest atoms and distances in Å follow each position.
Element x y z (fractional)
S 0.7331 0.7331 0.6646  1 Ni 2.37, 2 Ta 2.53
Tl 0.8393 0.1607 0.0000  6 S 3.18-3.23, 1 Tl 3.37
S 0.0780 0.4017 0.6892  2 Ta 2.43-2.49, 1 Ni 2.48
S 0.4017 0.0780 0.6892  2 Ta 2.43-2.49, 1 Ni 2.48
Ni 0.0000 0.0000 0.5000  6 S 2.37-2.48
S 0.2669 0.2669 0.3354  1 Ni 2.37, 2 Ta 2.53
S 0.5983 0.9220 0.3108  2 Ta 2.43-2.49, 1 Ni 2.48
S 0.9220 0.5983 0.3108  2 Ta 2.43-2.49, 1 Ni 2.48
Tl 0.1607 0.8393 0.0000  6 S 3.18-3.23, 1 Tl 3.37
Ta 0.6825 0.3175 0.5000  6 S 2.43-2.53
Ta 0.3175 0.6825 0.5000  6 S 2.43-2.53


# 5
DFT (GGA-PBE) results for a relaxed structure of LiPtI.

Output
Formation energy without anion corrections   -0.11 eV per atom
SG   P4/mmm, No. 123
Energy relative to the lowest polymorph listed for this composition   471 meV per atom

Cell: 4.0057 4.0057 4.8835 Å, 90.00 90.00 90.00°
Closest atoms and distances in Å follow each position.
Element x y z (fractional)
I 0.0000 0.0000 0.5000  4 Pt 2.83
Pt 0.5000 0.5000 0.5000  2 Li 2.44
Li 0.5000 0.5000 0.0000  2 Pt 2.44


# 6
DFT (GGA-PBE) results for a relaxed structure of TlAs2Ir.

Output
SG   P4/mmm, No. 123
Energy relative to the lowest polymorph listed for this composition   601 meV per atom

Cell: 3.9889 3.9873 4.8466 Å, 90.00 90.00 90.00°
Closest atoms and distances in Å follow each position.
Element x y z (fractional)
As 0.5000 0.5000 0.0000  4 As 2.82, 4 Ir 3.14, 4 Tl 3.14
Tl 0.0000 0.5000 0.5000  4 Ir 2.82, 8 As 3.14
As 0.0000 0.0000 0.0000  4 As 2.82, 4 Tl 3.14, 4 Ir 3.14
Ir 0.5000 0.0000 0.5000  4 Tl 2.82, 8 As 3.14